# 1
# Cs2NdReO6

Crystalline Cs2NdReO6 at its relaxed geometry (PBE, Alexandria via LeMat-Bulk).

The structure belongs to space group P-3m1 (No. 164); the cell edges are 6.7665, 6.7665 and 6.0135 Å and the angles 90.00°, 90.00° and 120.00°. The distinct sites, in fractional coordinates, are Cs at (0.3333, 0.6667, 0.1192), Nd at (0.0000, 0.0000, 0.5000), Re at (0.0000, 0.0000, 0.0000) and O at (0.1297, 0.2594, 0.8060).

The value obtained for the total magnetic moment is 0.00 Bohr magnetons per cell. The uncorrected formation energy is -2.01 eV/atom. Its calculated density is 4821 kg/m³.



# 2
# CsNdReO6

Crystalline CsNdReO6 at its relaxed geometry (PBE, Alexandria via LeMat-Bulk).

The structure belongs to space group C2 (No. 5); the cell edges are 5.956, 10.450 and 6.166 Å and the angles 90.00°, 90.08° and 90.00°. The distinct sites, in fractional coordinates, are Cs at (0.000, 0.000, 0.000), Nd at (0.000, 0.319, 0.500), Re at (0.000, 0.679, 0.500), O at (0.103, 0.523, 0.354), O at (0.162, 0.779, 0.308) and O at (0.249, 0.191, 0.314).

The value obtained for the total magnetic moment is 2.14 Bohr magnetons per cell. The uncorrected formation energy is -1.96 eV/atom. Its calculated density is 4841 kg/m³.



# 3
# Cs2NdRhO4

Crystalline Cs2NdRhO4 at its relaxed geometry (PBE, Alexandria via LeMat-Bulk).

The structure belongs to space group Fddd (No. 70, origin choice 2); the cell edges are 6.105, 13.992 and 23.441 Å and the angles 90.00°, 90.00° and 90.00°. The distinct sites, in fractional coordinates, are Cs at (0.125, 0.125, 0.314), Nd at (0.125, 0.125, 0.125), Rh at (0.125, 0.125, 0.625) and O at (0.098, 0.275, 0.854).

The value obtained for the total magnetic moment is 16.04 Bohr magnetons per cell. The uncorrected formation energy is -1.37 eV/atom. Its calculated density is 3828 kg/m³.



# 4
# Cs3Nd3RhO8

Crystalline Cs3Nd3RhO8 at its relaxed geometry (PBE, Alexandria via LeMat-Bulk).

The structure belongs to space group R-3m (No. 166, hexagonal axes); the cell edges are 7.1216, 7.1216 and 20.8432 Å and the angles 90.00°, 90.00° and 120.00°. The distinct sites, in fractional coordinates, are Cs at (0.0000, 0.5000, 0.0000), Nd at (0.0000, 0.5000, 0.5000), Rh at (0.0000, 0.0000, 0.5000), O at (0.0000, 0.0000, 0.2226) and O at (0.0343, 0.5172, 0.2189).

The value obtained for the total magnetic moment is 3.19 Bohr magnetons per cell. The uncorrected formation energy is -2.11 eV/atom. Its calculated density is 5781 kg/m³.



# 5
# Cs2Nd2RhO6

Crystalline Cs2Nd2RhO6 at its relaxed geometry (PBE, Alexandria via LeMat-Bulk).

The structure belongs to space group C2/m (No. 12); the cell edges are 6.067, 10.403 and 7.210 Å and the angles 90.00°, 104.11° and 90.00°. The distinct sites, in fractional coordinates, are Cs at (0.000, 0.164, 0.000), Nd at (0.000, 0.335, 0.500), Rh at (0.000, 0.000, 0.500), O at (0.195, 0.151, 0.656) and O at (0.245, 0.000, 0.340).

The value obtained for the total magnetic moment is 2.11 Bohr magnetons per cell. The uncorrected formation energy is -1.97 eV/atom. Its calculated density is 5668 kg/m³.



# 6
# CsNdRu2O8

Crystalline CsNdRu2O8 at its relaxed geometry (PBE, Alexandria via LeMat-Bulk).

The structure belongs to space group C2/m (No. 12); the cell edges are 9.800, 6.183 and 9.038 Å and the angles 90.00°, 94.02° and 90.00°. The distinct sites, in fractional coordinates, are Cs at (0.000, 0.000, 0.000), Nd at (0.000, 0.000, 0.500), Ru at (0.129, 0.500, 0.280), O at (0.029, 0.260, 0.311), O at (0.183, 0.500, 0.099) and O at (0.231, 0.000, 0.580).

The value obtained for the total magnetic moment is 8.04 Bohr magnetons per cell. The uncorrected formation energy is -1.48 eV/atom. Its calculated density is 3692 kg/m³.



# 7
# Cs3Nd3RuO8

Crystalline Cs3Nd3RuO8 at its relaxed geometry (PBE, Alexandria via LeMat-Bulk).

The structure belongs to space group R-3m (No. 166, hexagonal axes); the cell edges are 7.1196, 7.1196 and 20.8383 Å and the angles 90.00°, 90.00° and 120.00°. The distinct sites, in fractional coordinates, are Cs at (0.0000, 0.5000, 0.0000), Nd at (0.0000, 0.5000, 0.5000), Ru at (0.0000, 0.0000, 0.5000), O at (0.0000, 0.0000, 0.2227) and O at (0.0359, 0.5179, 0.2184).

The value obtained for the total magnetic moment is 6.00 Bohr magnetons per cell. The uncorrected formation energy is -2.15 eV/atom. Its calculated density is 5775 kg/m³.



# 8
# Cs2Nd2RuO6

Crystalline Cs2Nd2RuO6 at its relaxed geometry (PBE, Alexandria via LeMat-Bulk).

The structure belongs to space group C2/m (No. 12); the cell edges are 6.072, 10.391 and 7.218 Å and the angles 90.00°, 103.96° and 90.00°. The distinct sites, in fractional coordinates, are Cs at (0.000, 0.165, 0.000), Nd at (0.000, 0.333, 0.500), Ru at (0.000, 0.000, 0.500), O at (0.197, 0.152, 0.657) and O at (0.237, 0.000, 0.344).

The value obtained for the total magnetic moment is 4.00 Bohr magnetons per cell. The uncorrected formation energy is -2.03 eV/atom. Its calculated density is 5646 kg/m³.



# 9
# CsNd2RuO8

Crystalline CsNd2RuO8 at its relaxed geometry (PBE, Alexandria via LeMat-Bulk).

The structure belongs to space group P-1 (No. 2); the cell edges are 4.770, 4.823 and 8.191 Å and the angles 95.23°, 95.83° and 95.65°. The distinct sites, in fractional coordinates, are Cs at (0.000, 0.000, 0.000), Nd at (0.442, 0.447, 0.715), Ru at (0.000, 0.000, 0.500), O at (0.091, 0.720, 0.334), O at (0.273, 0.268, 0.435), O at (0.279, 0.913, 0.671) and O at (0.391, 0.602, 0.001).

The value obtained for the total magnetic moment is 1.01 Bohr magnetons per cell. The uncorrected formation energy is -1.81 eV/atom. Its calculated density is 5820 kg/m³.



# 10
# Cs2Nd2SbO6

Crystalline Cs2Nd2SbO6 at its relaxed geometry (PBE, Alexandria via LeMat-Bulk).

The structure belongs to space group C2/m (No. 12); the cell edges are 6.205, 10.677 and 7.330 Å and the angles 90.00°, 105.07° and 90.00°. The distinct sites, in fractional coordinates, are Cs at (0.000, 0.165, 0.000), Nd at (0.000, 0.335, 0.500), Sb at (0.000, 0.000, 0.500), O at (0.201, 0.156, 0.657) and O at (0.248, 0.500, 0.659).

The value obtained for the total magnetic moment is 0.39 Bohr magnetons per cell. The uncorrected formation energy is -2.17 eV/atom. Its calculated density is 5468 kg/m³.



# 11
# Cs3NdSb2O6

Crystalline Cs3NdSb2O6 at its relaxed geometry (PBE, Alexandria via LeMat-Bulk).

The structure belongs to space group P-3m1 (No. 164); the cell edges are 6.4309, 6.4309 and 8.0327 Å and the angles 90.00°, 90.00° and 120.00°. The distinct sites, in fractional coordinates, are Cs at (0.0000, 0.0000, 0.0000), Cs at (0.3333, 0.6667, 0.6701), Nd at (0.0000, 0.0000, 0.5000), Sb at (0.3333, 0.6667, 0.2152) and O at (0.1758, 0.3516, 0.3270).

The value obtained for the total magnetic moment is 0.00 Bohr magnetons per cell. The uncorrected formation energy is -1.93 eV/atom. Its calculated density is 5093 kg/m³.



# 12
# Cs2NdSb2O6

Crystalline Cs2NdSb2O6 at its relaxed geometry (PBE, Alexandria via LeMat-Bulk).

The structure belongs to space group C2/m (No. 12); the cell edges are 11.245, 6.491 and 7.918 Å and the angles 90.00°, 109.43° and 90.00°. The distinct sites, in fractional coordinates, are Cs at (0.215, 0.000, 0.221), Nd at (0.000, 0.500, 0.000), Sb at (0.104, 0.000, 0.719), O at (0.060, 0.234, 0.838) and O at (0.212, 0.500, 0.196).

The value obtained for the total magnetic moment is 0.00 Bohr magnetons per cell. The uncorrected formation energy is -1.83 eV/atom. Its calculated density is 4567 kg/m³.



# 13
# Cs3Nd3SbO8

Crystalline Cs3Nd3SbO8 at its relaxed geometry (PBE, Alexandria via LeMat-Bulk).

The structure belongs to space group R-3m (No. 166, hexagonal axes); the cell edges are 7.2173, 7.2173 and 21.0974 Å and the angles 90.00°, 90.00° and 120.00°. The distinct sites, in fractional coordinates, are Cs at (0.0000, 0.5000, 0.0000), Nd at (0.0000, 0.5000, 0.5000), Sb at (0.0000, 0.0000, 0.5000), O at (0.0000, 0.0000, 0.2213) and O at (0.0315, 0.5157, 0.2192).

The value obtained for the total magnetic moment is 0.00 Bohr magnetons per cell. The uncorrected formation energy is -2.28 eV/atom. Its calculated density is 5659 kg/m³.



# 14
# Cs4Nd3ScO8

Crystalline Cs4Nd3ScO8 at its relaxed geometry (PBE, Alexandria via LeMat-Bulk).

The structure belongs to space group R-3m (No. 166, hexagonal axes); the cell edges are 7.2432, 7.2432 and 20.7300 Å and the angles 90.00°, 90.00° and 120.00°. The distinct sites, in fractional coordinates, are Cs at (0.0000, 0.0000, 0.0000), Cs at (0.0000, 0.5000, 0.0000), Nd at (0.0000, 0.5000, 0.5000), Sc at (0.0000, 0.0000, 0.5000), O at (0.0000, 0.0000, 0.2235) and O at (0.0204, 0.5102, 0.2216).

The value obtained for the total magnetic moment is 0.00 Bohr magnetons per cell. The uncorrected formation energy is -2.48 eV/atom. Its calculated density is 6015 kg/m³.



# 15
# Cs2NdScO4

Crystalline Cs2NdScO4 at its relaxed geometry (PBE, Alexandria via LeMat-Bulk).

The structure belongs to space group Imma (No. 74); the cell edges are 7.271, 7.638 and 10.474 Å and the angles 90.00°, 90.00° and 90.00°. The distinct sites, in fractional coordinates, are Cs at (0.000, 0.000, 0.000), Cs at (0.250, 0.250, 0.250), Nd at (0.000, 0.000, 0.500), Sc at (0.250, 0.250, 0.750), O at (0.000, 0.063, 0.731) and O at (0.206, 0.250, 0.538).

The value obtained for the total magnetic moment is 0.00 Bohr magnetons per cell. The uncorrected formation energy is -2.32 eV/atom. Its calculated density is 5927 kg/m³.



# 16
# Cs2NdSe2O6

Crystalline Cs2NdSe2O6 at its relaxed geometry (PBE, Alexandria via LeMat-Bulk).

The structure belongs to space group C2/m (No. 12); the cell edges are 10.674, 6.340 and 7.970 Å and the angles 90.00°, 111.57° and 90.00°. The distinct sites, in fractional coordinates, are Cs at (0.237, 0.000, 0.246), Nd at (0.000, 0.500, 0.000), Se at (0.085, 0.000, 0.723), O at (0.048, 0.226, 0.827) and O at (0.237, 0.500, 0.161).

The value obtained for the total magnetic moment is 1.61 Bohr magnetons per cell. The uncorrected formation energy is -1.55 eV/atom. Its calculated density is 4397 kg/m³.



# 17
# Cs2Nd4Se3O2

Crystalline Cs2Nd4Se3O2 at its relaxed geometry (PBE, Alexandria via LeMat-Bulk).

The structure belongs to space group I4/mmm (No. 139); the cell edges are 4.816, 4.816 and 27.060 Å and the angles 90.00°, 90.00° and 90.00°. The distinct sites, in fractional coordinates, are Cs at (0.000, 0.000, 0.196), Nd at (0.000, 0.500, 0.071), Se at (0.000, 0.000, 0.354), Se at (0.000, 0.000, 0.500) and O at (0.000, 0.000, 0.087).

The value obtained for the total magnetic moment is 0.00 Bohr magnetons per cell. The uncorrected formation energy is -1.82 eV/atom. Its calculated density is 5883 kg/m³.



# 18
# Cs2NdSiO4

Crystalline Cs2NdSiO4 at its relaxed geometry (PBE, Alexandria via LeMat-Bulk).

The structure belongs to space group Fddd (No. 70, origin choice 2); the cell edges are 5.854, 13.072 and 25.596 Å and the angles 90.00°, 90.00° and 90.00°. The distinct sites, in fractional coordinates, are Cs at (0.125, 0.125, 0.306), Nd at (0.125, 0.125, 0.125), Si at (0.125, 0.125, 0.625) and O at (0.053, 0.301, 0.841).

The value obtained for the total magnetic moment is 0.00 Bohr magnetons per cell. The uncorrected formation energy is -2.15 eV/atom. Its calculated density is 3406 kg/m³.



# 19
# Cs2NdSi2O6

Crystalline Cs2NdSi2O6 at its relaxed geometry (PBE, Alexandria via LeMat-Bulk).

The structure belongs to space group R-3m (No. 166, hexagonal axes); the cell edges are 6.1586, 6.1586 and 18.3530 Å and the angles 90.00°, 90.00° and 120.00°. The distinct sites, in fractional coordinates, are Cs at (0.0000, 0.0000, 0.2204), Nd at (0.0000, 0.0000, 0.0000), Si at (0.0000, 0.0000, 0.4260) and O at (0.0356, 0.5178, 0.2591).

The value obtained for the total magnetic moment is 3.00 Bohr magnetons per cell. The uncorrected formation energy is -2.49 eV/atom. Its calculated density is 4646 kg/m³.



# 20
# Cs2NdSmO4

Crystalline Cs2NdSmO4 at its relaxed geometry (PBE, Alexandria via LeMat-Bulk).

The structure belongs to space group P2/m (No. 10); the cell edges are 6.374, 3.680 and 7.262 Å and the angles 90.00°, 107.02° and 90.00°. The distinct sites, in fractional coordinates, are Cs at (0.000, 0.000, 0.000), Cs at (0.500, 0.500, 0.000), Nd at (0.000, 0.500, 0.500), Sm at (0.500, 0.000, 0.500), O at (0.226, 0.000, 0.669) and O at (0.280, 0.500, 0.331).

The value obtained for the total magnetic moment is 0.00 Bohr magnetons per cell. The uncorrected formation energy is -2.53 eV/atom. Its calculated density is 6365 kg/m³.